1.
Here is an optimized crystal structure of PmDy5Pd2 from Alexandria. Energies are from PBE.

a b c (Å): 3.8380 12.8816 18.1139
angles (deg): 90.00 90.00 90.00
Last column: nearest neighbours and their distance in Å.
Space group Cmcm (No. 63)
Asymmetric unit:
Pm (0.0000, 0.1509, 0.2500)  4 Pd 3.25, 3 Dy 3.41-3.58
Dy (0.0000, 0.1140, 0.7500)  2 Pd 2.77
Dy (0.0000, 0.1550, 0.0435)  2 Pd 2.78
Dy (0.0000, 0.4471, 0.1019)  2 Pd 3.13, 4 Dy 3.39-3.46
Pd (0.0000, 0.2421, 0.6269)  3 Dy 2.77-2.78

Computed properties:
Size of the total moment: 0.00 Bohr magnetons per cell
Total DFT energy (no corrections): -164.406 eV/cell

2.
Here is an optimized crystal structure of Sr2CaIn3Pd4 from Alexandria. Energies are from PBE.

a b c (Å): 4.6876 4.6876 11.3681
angles (deg): 90.00 90.00 90.00
Last column: nearest neighbours and their distance in Å.
Space group P-4m2 (No. 115)
Asymmetric unit:
Sr (0.0000, 0.5000, 0.2260)  8 Pd 3.48-3.63, 4 In 3.53
Ca (0.0000, 0.0000, 0.5000)  4 Pd 2.86
In (0.0000, 0.5000, 0.8801)  5 Pd 2.68-2.71
In (0.5000, 0.5000, 0.5000)  4 Pd 2.86
Pd (0.0000, 0.0000, 0.0000)  4 In 2.71
Pd (0.0000, 0.5000, 0.6441)  3 In 2.68-2.86, 2 Ca 2.86
Pd (0.5000, 0.5000, 0.0000)  4 In 2.71

Computed properties:
Size of the total moment: 0.00 Bohr magnetons per cell
Total DFT energy (no corrections): -40.510 eV/cell

3.
Here is an optimized crystal structure of ScSe2Cl from Alexandria. Energies are from PBE.

a b c (Å): 3.6641 3.6641 6.4270
angles (deg): 90.00 90.00 90.00
Last column: nearest neighbours and their distance in Å.
Space group P4/mmm (No. 123)
Asymmetric unit:
Sc (0.0000, 0.0000, 0.0000)  8 Se 2.87
Se (0.5000, 0.5000, 0.1915)  1 Se 2.46
Cl (0.0000, 0.0000, 0.5000)  2 Sc 3.21, 8 Se 3.26

Computed properties:
Size of the total moment: 0.00 Bohr magnetons per cell
Total DFT energy (no corrections): -19.088 eV/cell
Uncorrected formation energy: -95.06 kJ per mole of atoms
Energy above the lowest structure with this stoichiometry: 119 kJ/mol of formula units

4.
Here is an optimized crystal structure of SmMgCoPd from Alexandria. Energies are from PBE.

a b c (Å): 6.6730 6.6730 6.6730
angles (deg): 90.00 90.00 90.00
Last column: nearest neighbours and their distance in Å.
Space group F-43m (No. 216)
Asymmetric unit:
Sm (0.0000, 0.0000, 0.0000)  4 Pd 2.89, 4 Co 2.89
Mg (0.0000, 0.0000, 0.5000)  4 Co 2.89, 4 Pd 2.89
Co (0.2500, 0.2500, 0.2500)  4 Sm 2.89, 4 Mg 2.89
Pd (0.2500, 0.2500, 0.7500)  4 Mg 2.89, 4 Sm 2.89

Computed properties:
Size of the total moment: 0.00 Bohr magnetons per cell
Total DFT energy (no corrections): -78.966 eV/cell

5.
Here is an optimized crystal structure of TaCrN from Alexandria. Energies are from PBE.

a b c (Å): 10.4003 2.9092 4.7413
angles (deg): 90.00 97.46 90.00
Last column: nearest neighbours and their distance in Å.
Space group Cm (No. 8)
Asymmetric unit:
Ta (0.0000, 0.0000, 0.0000)  3 N 2.10-2.13
Ta (0.1760, 0.0000, 0.5774)  4 N 2.12-2.19
Cr (0.2491, 0.5000, 0.0847)  2 N 2.04-2.08
Cr (0.4249, 0.0000, 0.4902)  3 N 2.06-2.10
N (0.0887, 0.5000, 0.2899)  2 Cr 2.04-2.06, 4 Ta 2.12-2.13
N (0.3302, 0.5000, 0.7068)  3 Cr 2.08-2.10, 3 Ta 2.10-2.19

Computed properties:
Size of the total moment: 2.52 Bohr magnetons per cell
Total DFT energy (no corrections): -125.485 eV/cell
Uncorrected formation energy: -50.49 kJ per mole of atoms

6.
Here is an optimized crystal structure of KLi4As2 from Alexandria. Energies are from PBE.

a b c (Å): 4.4484 4.4484 25.9004
angles (deg): 90.00 90.00 120.00
Last column: nearest neighbours and their distance in Å.
Space group R-3m (No. 166, hexagonal axes)
Asymmetric unit:
K (0.0000, 0.0000, 0.0000)  8 Li 3.50-3.66, 6 As 3.59
Li (0.0000, 0.0000, 0.1353)  4 As 2.63-2.76, 3 Li 2.72
Li (0.0000, 0.0000, 0.4341)  3 As 2.57, 3 Li 2.72
As (0.0000, 0.0000, 0.2367)  7 Li 2.57-2.76

Computed properties:
Size of the total moment: 1.05 Bohr magnetons per cell
Total DFT energy (no corrections): -65.946 eV/cell

7.
Here is an optimized crystal structure of KEuTlHg from Alexandria. Energies are from PBE.

a b c (Å): 8.0745 8.0745 8.0745
angles (deg): 90.00 90.00 90.00
Last column: nearest neighbours and their distance in Å.
Space group F-43m (No. 216)
Asymmetric unit:
K (0.0000, 0.0000, 0.0000)  4 Hg 3.50, 4 Tl 3.50
Eu (0.0000, 0.0000, 0.5000)  4 Tl 3.50, 4 Hg 3.50
Tl (0.2500, 0.2500, 0.7500)  4 K 3.50, 4 Eu 3.50
Hg (0.2500, 0.2500, 0.2500)  4 Eu 3.50, 4 K 3.50

Computed properties:
Size of the total moment: 29.76 Bohr magnetons per cell
Total DFT energy (no corrections): -59.520 eV/cell

8.
Here is an optimized crystal structure of CsOF3 from Alexandria. Energies are from PBE.

a b c (Å): 4.6751 4.6751 4.1804
angles (deg): 90.00 90.00 90.00
Last column: nearest neighbours and their distance in Å.
Space group P4mm (No. 99)
Asymmetric unit:
Cs (0.0000, 0.0000, 0.0000)  12 F 3.09-3.33
O (0.5000, 0.5000, 0.4277)  1 F 1.38
F (0.0000, 0.5000, 0.5175)  2 O 2.37
F (0.5000, 0.5000, 0.0986)  1 O 1.38

Computed properties:
Size of the total moment: 2.00 Bohr magnetons per cell
Total DFT energy (no corrections): -16.089 eV/cell
Uncorrected formation energy: -89.98 kJ per mole of atoms
Energy above the lowest structure with this stoichiometry: 138 kJ/mol of formula units

9.
Here is an optimized crystal structure of TlAu from Alexandria. Energies are from PBE.

a b c (Å): 8.0371 8.0371 8.0371
angles (deg): 90.00 90.00 90.00
Last column: nearest neighbours and their distance in Å.
Space group Pm-3n (No. 223)
Asymmetric unit:
Tl (0.0000, 0.2500, 0.5000)  4 Au 2.84
Au (0.0000, 0.5000, 0.2500)  4 Tl 2.84

Computed properties:
Size of the total moment: 0.00 Bohr magnetons per cell
Total DFT energy (no corrections): -30.820 eV/cell

10.
Here is an optimized crystal structure of Nd2Sm3ErTm6 from Alexandria. Energies are from PBE.

a b c (Å): 6.1693 10.6819 11.7010
angles (deg): 90.00 100.09 90.00
Last column: nearest neighbours and their distance in Å.
Space group C2/m (No. 12)
Asymmetric unit:
Nd (0.0000, 0.1665, 0.0000)  6 Tm 3.54, 3 Nd 3.56, 3 Er 3.56
Sm (0.0000, 0.0000, 0.5000)  6 Tm 3.54, 6 Sm 3.56
Sm (0.0000, 0.3334, 0.5000)  6 Tm 3.54, 6 Sm 3.56
Er (0.0000, 0.5000, 0.0000)  6 Tm 3.54, 6 Nd 3.56
Tm (0.2491, 0.5000, 0.7498)  3 Sm 3.54, 1 Er 3.54, 2 Nd 3.54, 6 Tm 3.56
Tm (0.2500, 0.1664, 0.7501)  2 Nd 3.54, 1 Er 3.54, 3 Sm 3.54, 6 Tm 3.56

Computed properties:
Size of the total moment: 0.00 Bohr magnetons per cell
Total DFT energy (no corrections): -109.727 eV/cell

11.
Here is an optimized crystal structure of CePu2Rh3 from Alexandria. Energies are from PBE.

a b c (Å): 4.7896 14.6733 3.4862
angles (deg): 90.00 90.00 90.00
Last column: nearest neighbours and their distance in Å.
Space group Cmmm (No. 65)
Asymmetric unit:
Ce (0.0000, 0.0000, 0.0000)  8 Rh 2.96-2.99
Pu (0.0000, 0.3323, 0.0000)  8 Rh 2.96-3.02
Rh (0.0000, 0.1660, 0.5000)  6 Pu 2.96-3.00, 2 Ce 2.99
Rh (0.0000, 0.5000, 0.5000)  4 Ce 2.96, 4 Pu 3.02

Computed properties:
Size of the total moment: 20.85 Bohr magnetons per cell
Total DFT energy (no corrections): -119.514 eV/cell